The following is a DFT calculation (PBE) of a geometry-optimized DyNbTl structure.

Output
The space group is F-43m, No. 216. The volume comes out at 27.57 Å³ per atom. The value obtained for the total magnetization is 2.09 μB/f.u. The value obtained for the final energy is -5.066 eV/atom. Its offset from the most stable computed form is 0 meV per atom.

a = 4.8908 Å, b = 4.8908 Å, c = 4.8908 Å
α = 60.00°, β = 60.00°, γ = 60.00°
Last column: nearest neighbours and their distance in Å.
Fractional positions:
1 Dy 0.2500 0.2500 0.2500  4 Tl 2.99
2 Nb 0.7500 0.7500 0.7500  4 Tl 2.99
3 Tl 0.0000 0.0000 0.0000  4 Dy 2.99, 4 Nb 2.99